1.
# Gd3Tl2SnPb4 | the Open Quantum Materials Database | PBE-GGA | relaxed
data_Gd3Tl2SnPb4
_cell_length_a 4.642
_cell_length_b 25.733
_cell_length_c 4.713
_cell_angle_alpha 90.00
_cell_angle_beta 90.00
_cell_angle_gamma 90.00
_space_group_name_H-M_alt 'C m m m'
_space_group_IT_number 65
_space_group_name_Hall '-C 2 2'
loop_
_atom_site_label
_atom_site_fract_x
_atom_site_fract_y
_atom_site_fract_z
Gd1 0.000 0.000 0.000
Gd2 0.000 0.189 0.000
Tl1 0.000 0.098 0.500
Sn1 0.000 0.500 0.500
Pb1 0.000 0.294 0.500
Pb2 0.000 0.404 0.000
# relative energy among the computed polymorphs: 0 meV/atom

2.
# Gd3Tl2Sn3Pb2 | the Open Quantum Materials Database | PBE-GGA | relaxed
data_Gd3Tl2Sn3Pb2
_cell_length_a 4.744
_cell_length_b 24.576
_cell_length_c 4.726
_cell_angle_alpha 90.00
_cell_angle_beta 90.00
_cell_angle_gamma 90.00
_space_group_name_H-M_alt 'C m m m'
_space_group_IT_number 65
_space_group_name_Hall '-C 2 2'
loop_
_atom_site_label
_atom_site_fract_x
_atom_site_fract_y
_atom_site_fract_z
Gd1 0.000 0.000 0.000
Gd2 0.000 0.189 0.000
Tl1 0.000 0.294 0.500
Sn1 0.000 0.099 0.500
Sn2 0.000 0.500 0.500
Pb1 0.000 0.402 0.000
# relative energy among the computed polymorphs: 50 meV/atom